# 1
Sn5AsPd3 (PBE, relaxed); formation energy = -0.18 eV/atom; size of the total moment = 0.0 μB per formula unit; calculated volume = 222 Å³/f.u.
1.0
5.630 -4.602 0.000
5.630 4.602 0.000
-5.303 0.000 8.555
Sn As Pd
10 2 6
Direct
0.082 0.082 0.381
0.151 0.601 0.295
0.203 0.797 0.000
0.255 0.255 0.986
0.399 0.849 0.705
0.601 0.151 0.295
0.745 0.745 0.014
0.797 0.203 0.000
0.849 0.399 0.705
0.918 0.918 0.619
0.433 0.433 0.711
0.567 0.567 0.289
0.188 0.188 0.201
0.205 0.205 0.690
0.500 0.500 0.000
0.500 0.500 0.500
0.795 0.795 0.310
0.812 0.812 0.799

# 2
Sn3As2Pd7 (PBE, relaxed); formation energy = -0.31 eV/atom; size of the total moment = 0.0 μB per formula unit; calculated volume = 223 Å³/f.u.
1.0
2.427 -9.696 0.000
2.427 9.696 0.000
0.000 0.000 4.739
Sn As Pd
3 2 7
Direct
0.000 0.000 0.000
0.167 0.833 0.000
0.833 0.167 0.000
0.357 0.643 0.500
0.643 0.357 0.500
0.076 0.924 0.500
0.224 0.776 0.500
0.419 0.581 0.000
0.500 0.500 0.500
0.581 0.419 0.000
0.776 0.224 0.500
0.924 0.076 0.500

# 3
Sn5As4Pd (PBE, relaxed); formation energy = -0.10 eV/atom; size of the total moment = 0.0 μB per formula unit; calculated volume = 236 Å³/f.u.
1.0
-2.023 2.023 14.415
2.023 -2.023 14.415
2.023 2.023 -14.415
Sn As Pd
5 4 1
Direct
0.000 0.000 0.000
0.201 0.201 0.000
0.404 0.404 0.000
0.596 0.596 0.000
0.799 0.799 0.000
0.103 0.103 0.000
0.302 0.302 0.000
0.698 0.698 0.000
0.897 0.897 0.000
0.500 0.500 0.000

# 4
SnAsPd6 (PBE, relaxed); ΔE to the lowest computed polymorph = 0.0 meV/atom; formation energy = -0.34 eV/atom; size of the total moment = 0.0 μB per formula unit; calculated volume = 128 Å³/f.u.
1.0
4.010 0.000 0.000
0.000 4.010 0.000
0.000 0.000 7.962
Sn As Pd
1 1 6
Direct
0.000 0.000 0.000
0.000 0.000 0.500
0.000 0.500 0.255
0.000 0.500 0.745
0.500 0.000 0.255
0.500 0.000 0.745
0.500 0.500 0.000
0.500 0.500 0.500

# 5
SnAs2Pd8 (PBE, relaxed); ΔE to the lowest computed polymorph = 0.0 meV/atom; formation energy = -0.41 eV/atom; size of the total moment = 0.0 μB per formula unit; calculated volume = 179 Å³/f.u.
1.0
4.840 0.000 0.000
-0.679 5.706 0.000
-1.894 -2.955 6.476
Sn As Pd
1 2 8
Direct
0.000 0.000 0.000
0.400 0.309 0.681
0.600 0.691 0.319
0.146 0.894 0.353
0.200 0.420 0.383
0.245 0.590 0.961
0.386 0.906 0.766
0.614 0.094 0.234
0.755 0.410 0.039
0.800 0.580 0.617
0.854 0.106 0.647

# 6
SnAsPd6 (PBE, relaxed); ΔE to the lowest computed polymorph = 67.0 meV/atom; formation energy = -0.27 eV/atom; size of the total moment = 0.0 μB per formula unit; calculated volume = 143 Å³/f.u.
1.0
3.769 -2.779 0.000
3.769 2.779 0.000
-2.840 0.000 6.833
Sn As Pd
1 1 6
Direct
0.000 0.000 0.000
0.500 0.500 0.500
0.073 0.580 0.207
0.165 0.165 0.454
0.420 0.927 0.793
0.580 0.073 0.207
0.835 0.835 0.546
0.927 0.420 0.793